P) Entry from the Alexandria database: a geometry-optimized HfMnTe4 structure (PBE).

Lattice parameters (Å, degrees): 6.7189 6.7189 3.9896 90.00 90.00 91.78
Fractional positions:
1 Hf 0.0000 0.0000 0.0000
2 Mn 0.5000 0.5000 0.5000
3 Te 0.2085 0.7915 0.5000
4 Te 0.3086 0.3086 0.0000
5 Te 0.6914 0.6914 0.0000
6 Te 0.7915 0.2085 0.5000

Space group: Cmmm (65)
Fermi-level density of states: 3.18 states/eV per cell



Q) Entry from the Alexandria database: a geometry-optimized HfMnTe4 structure (PBE).

Lattice parameters (Å, degrees): 6.6969 3.8787 7.1175 90.00 90.82 90.00
Fractional positions:
1 Hf 0.0000 0.0000 0.0000
2 Mn 0.5000 0.5000 0.0000
3 Te 0.1829 0.5000 0.2467
4 Te 0.3464 0.0000 0.7679
5 Te 0.6536 0.0000 0.2321
6 Te 0.8171 0.5000 0.7533

Space group: P2/m (10)
Fermi-level density of states: 2.78 states/eV per cell



Preferred: Q); penalty for the next structure: 131 meV/atom.